(1)
8
Lattice="2.575 1.487 8.430 -2.575 1.487 8.430 0.000 -2.974 8.430" Properties=species:S:1:pos:R:3 comment="DyTh3Zn4 PBE optimized geometry" e_tot_ev_per_atom=-4.20 pbc="T T T"
Dy 0.000 0.000 0.000
Th 0.000 0.000 6.298
Th 0.000 0.000 12.646
Th 0.000 0.000 18.994
Zn 0.000 0.000 3.097
Zn 0.000 0.000 9.425
Zn 0.000 0.000 15.866
Zn 0.000 0.000 22.194

---

(2)
4
Lattice="4.752 0.000 0.000 0.000 4.752 0.000 0.000 0.000 4.832" Properties=species:S:1:pos:R:3 comment="Dy2ThZn PBE optimized geometry" e_tot_ev_per_atom=-4.46 pbc="T T T"
Dy 0.000 2.376 0.000
Dy 2.376 0.000 0.000
Th 0.000 0.000 2.416
Zn 2.376 2.376 2.416

---

(3)
4
Lattice="1.790 1.034 10.216 -1.790 1.034 10.216 0.000 -2.067 10.216" Properties=species:S:1:pos:R:3 comment="Dy2ThZn PBE optimized geometry" e_tot_ev_per_atom=-4.54 pbc="T T T"
Dy 0.000 0.000 7.358
Dy 0.000 0.000 23.289
Th 0.000 0.000 0.000
Zn 0.000 0.000 15.324

---

(4)
3
Lattice="-1.792 1.792 6.248 1.792 -1.792 6.248 1.792 1.792 -6.248" Properties=species:S:1:pos:R:3 comment="DyThZn PBE optimized geometry" e_tot_ev_per_atom=-4.57 pbc="T T T"
Dy 0.000 0.000 0.000
Th 0.000 0.000 8.755
Zn 0.000 0.000 4.500